Entry from the Alexandria database: Li2AgTe at its PBEsol-relaxed geometry (meta-GGA SCAN).

Lattice parameters (Å, degrees): 3.9951 4.2318 4.2318 90.00 90.00 90.00
Closest atoms and distances in Å follow each position.
Atoms (fractional coordinates):
Te 0.5000 0.5000 0.5000  8 Li 2.91, 4 Ag 2.99
Ag 0.5000 0.0000 0.0000  8 Li 2.91, 4 Te 2.99
Li 0.0000 0.0000 0.5000  4 Te 2.91, 4 Ag 2.91, 4 Li 2.99
Li 0.0000 0.5000 0.0000  4 Te 2.91, 4 Ag 2.91, 4 Li 2.99

Values from the calculation:
As for the total moment: 0.0000 μB/atom. The calculation puts the total energy at -75.60 eV per formula unit. Its energy relative to the elements, uncorrected is -551 meV per atom.

Entry from the Alexandria database: ReNiOs2 at its PBEsol-relaxed geometry (meta-GGA SCAN).

Lattice parameters (Å, degrees): 2.6865 3.7553 5.3041 90.00 90.00 90.00
Closest atoms and distances in Å follow each position.
Atoms (fractional coordinates):
Ni 0.5000 0.5000 0.5000  8 Os 2.64, 2 Re 2.65, 2 Ni 2.69
Os 0.0000 0.0000 0.7401  4 Os 2.55-2.76, 4 Ni 2.64, 4 Re 2.69
Os 0.0000 0.0000 0.2599  4 Os 2.55-2.76, 4 Ni 2.64, 4 Re 2.69
Re 0.5000 0.5000 0.0000  2 Ni 2.65, 2 Re 2.69, 8 Os 2.69

Values from the calculation:
As for the total moment: 0.0000 μB/atom. The calculation puts the total energy at -230.57 eV per formula unit. The energy of formation comes out at 0.115 eV per atom. The value obtained for the relative energy among the computed polymorphs is 0.000 eV per atom.

Entry from the Alexandria database: AlGa3Ir at its PBEsol-relaxed geometry (meta-GGA SCAN).

Lattice parameters (Å, degrees): 4.7576 4.7576 4.7576 90.00 90.00 90.00
Closest atoms and distances in Å follow each position.
Atoms (fractional coordinates):
Ir 0.0000 0.0000 0.0000  6 Ga 2.38
Al 0.5000 0.5000 0.5000  12 Ga 3.36
Ga 0.0000 0.5000 0.0000  2 Ir 2.38
Ga 0.0000 0.0000 0.5000  2 Ir 2.38
Ga 0.5000 0.0000 0.0000  2 Ir 2.38

Values from the calculation:
As for the total moment: 0.0000 μB/atom. The calculation puts the total energy at -127.80 eV per formula unit. The energy of formation comes out at 0.018 eV per atom.

Entry from the Alexandria database: Sr2Os at its PBEsol-relaxed geometry (meta-GGA SCAN).

Lattice parameters (Å, degrees): 3.5196 4.9990 4.9990 120.00 90.00 90.00
Closest atoms and distances in Å follow each position.
Atoms (fractional coordinates):
Os 0.0000 0.0000 0.0000  6 Sr 3.06
Sr 0.2868 0.6667 0.3333  3 Os 3.06, 3 Sr 3.25
Sr 0.7132 0.3333 0.6667  3 Os 3.06, 3 Sr 3.25

Values from the calculation:
As for the total moment: 0.0005 μB/atom. The calculation puts the total energy at -113.81 eV per formula unit. The energy of formation comes out at 0.872 eV per atom.

Entry from the Alexandria database: KTaSb2 at its PBEsol-relaxed geometry (meta-GGA SCAN).

Lattice parameters (Å, degrees): 3.5883 3.6065 9.6111 100.67 90.00 119.83
Closest atoms and distances in Å follow each position.
Atoms (fractional coordinates):
K 0.0000 0.0000 0.5000  6 Sb 3.48-3.49, 6 K 3.59-3.61
Sb 0.7665 0.5330 0.7980  3 Ta 2.81-2.82
Sb 0.2335 0.4670 0.2020  3 Ta 2.81-2.82
Ta 0.5000 0.0000 0.0000  6 Sb 2.81-2.82

Values from the calculation:
As for the total moment: 0.0000 μB/atom. The calculation puts the total energy at -149.96 eV per formula unit. Its energy relative to the elements, uncorrected is -131 meV per atom. The value obtained for the relative energy among the computed polymorphs is 0.000 eV per atom.

Entry from the Alexandria database: Mn3HN at its PBEsol-relaxed geometry (meta-GGA SCAN).

Lattice parameters (Å, degrees): 3.6706 3.6706 3.6706 90.00 90.00 90.00
Closest atoms and distances in Å follow each position.
Atoms (fractional coordinates):
H 0.5000 0.5000 0.5000  12 Mn 2.60
Mn 0.0000 0.5000 0.0000  2 N 1.84
Mn 0.0000 0.0000 0.5000  2 N 1.84
Mn 0.5000 0.0000 0.0000  2 N 1.84
N 0.0000 0.0000 0.0000  6 Mn 1.84

Values from the calculation:
As for the total moment: 1.4730 μB/atom. The calculation puts the total energy at -65.87 eV per formula unit.